CrCuF2 (GGA+U, relaxed); uncorrected energy = -4.7864 eV/atom; SG = Fm-3m (225); energy above the lowest structure with this stoichiometry = 144.9 meV/atom
1.0
5.761 0.000 0.000
0.000 5.761 0.000
0.000 0.000 5.761
Cr Cu F
4 4 8
Cartesian
0.000 0.000 0.000
0.000 2.880 2.880
2.880 0.000 2.880
2.880 2.880 0.000
0.000 0.000 2.880
0.000 2.880 0.000
2.880 0.000 0.000
2.880 2.880 2.880
1.440 1.440 1.440
1.440 1.440 4.320
1.440 4.320 1.440
1.440 4.320 4.320
4.320 1.440 1.440
4.320 1.440 4.320
4.320 4.320 1.440
4.320 4.320 4.320